# TiZnCuP3O12, single point on PBEsol structure, DFT meta-GGA SCAN
data_TiZnCuP3O12
_space_group_name_H-M_alt 'R 3 c'
_space_group_IT_number 161
_space_group_name_Hall 'R 3 -2"c'
_cell_length_a 8.5178
_cell_length_b 8.5178
_cell_length_c 20.4341
_cell_angle_alpha 90.00
_cell_angle_beta 90.00
_cell_angle_gamma 120.00
loop_
_atom_site_label
_atom_site_type_symbol
_atom_site_fract_x
_atom_site_fract_y
_atom_site_fract_z
Ti1 Ti 0.0000 0.0000 0.0000
Zn1 Zn 0.0000 0.0000 0.1451
Cu1 Cu 0.0000 0.0000 0.2853
P1 P 0.0009 0.2937 0.3917
O1 O 0.0031 0.1893 0.4533
O2 O 0.0128 0.1802 0.0682
O3 O 0.1419 0.4602 0.9960
O4 O 0.1748 0.4811 0.3845
# **E_form (uncorrected)**: -2.252 eV/atom
# **Final energy**: -0.781 Ry/atom
# **Volume**: 11.89 A^3/atom
# **ρ**: 3583 kg/m³

# Be2PCl, single point on PBEsol structure, DFT meta-GGA SCAN
data_Be2PCl
_space_group_name_H-M_alt 'P -4 m 2'
_space_group_IT_number 115
_cell_length_a 3.588
_cell_length_b 3.588
_cell_length_c 4.859
_cell_angle_alpha 90.00
_cell_angle_beta 90.00
_cell_angle_gamma 90.00
loop_
_space_group_symop_operation_xyz
'x,y,z'
'y,-x,-z'
'-x,-y,z'
'-y,x,-z'
'-x,y,z'
'-y,-x,-z'
'x,-y,z'
'y,x,-z'
loop_
_atom_site_label
_atom_site_type_symbol
_atom_site_fract_x
_atom_site_fract_y
_atom_site_fract_z
Be1 Be 0.000 0.500 0.216
P1 P 0.000 0.000 0.000
Cl1 Cl 0.500 0.500 0.500
# **E_form (uncorrected)**: -0.663 eV/atom
# **Final energy**: -0.546 Ry/atom
# **Volume**: 15.64 A^3/atom
# **ρ**: 2242 kg/m³
# **Density of states at the Fermi level**: 0.00 states/eV/cell

# Mn2SiW, single point on PBEsol structure, DFT meta-GGA SCAN
data_Mn2SiW
_space_group_name_H-M_alt 'P 4/m m m'
_space_group_IT_number 123
_space_group_name_Hall '-P 4 2'
_cell_length_a 4.012
_cell_length_b 4.012
_cell_length_c 2.943
_cell_angle_alpha 90.00
_cell_angle_beta 90.00
_cell_angle_gamma 90.00
loop_
_atom_site_label
_atom_site_type_symbol
_atom_site_fract_x
_atom_site_fract_y
_atom_site_fract_z
Mn1 Mn 0.000 0.500 0.000
Si1 Si 0.000 0.000 0.500
W1 W 0.500 0.500 0.500
# **E_form (uncorrected)**: -0.244 eV/atom
# **Final energy**: -2.153 Ry/atom
# **Volume**: 11.84 A^3/atom
# **ρ**: 11282 kg/m³
# **Density of states at the Fermi level**: 1.13 states/eV/cell

# LiMn2NiO6, single point on PBEsol structure, DFT meta-GGA SCAN
data_LiMn2NiO6
_space_group_name_H-M_alt 'P -1'
_space_group_IT_number 2
_cell_length_a 2.857
_cell_length_b 5.774
_cell_length_c 6.469
_cell_angle_alpha 104.89
_cell_angle_beta 102.57
_cell_angle_gamma 92.30
loop_
_space_group_symop_operation_xyz
'x,y,z'
'-x,-y,-z'
loop_
_atom_site_label
_atom_site_type_symbol
_atom_site_fract_x
_atom_site_fract_y
_atom_site_fract_z
Li1 Li 0.000 0.000 0.000
Mn1 Mn 0.341 0.179 0.662
Ni1 Ni 0.000 0.500 0.000
O1 O 0.125 0.603 0.311
O2 O 0.179 0.049 0.350
O3 O 0.480 0.745 0.031
# **E_form (uncorrected)**: -1.908 eV/atom
# **Final energy**: -0.820 Ry/atom
# **Volume**: 10.01 A^3/atom
# **ρ**: 4502 kg/m³